## SmB2Ir2 (PBEsol)

Data for a geometry-optimized SmB2Ir2 structure.

Geometry as POSCAR:
```
SmB2Ir2
1.0
0.000 4.637 5.352
2.948 0.000 5.352
2.948 4.637 0.000
Sm B Ir
2 4 4
direct
0.125 0.125 0.125
0.875 0.875 0.875
0.194 0.556 0.194
0.444 0.806 0.444
0.556 0.194 0.556
0.806 0.444 0.806
0.247 0.247 0.503
0.497 0.497 0.753
0.503 0.503 0.247
0.753 0.753 0.497
```

Values from the calculation:
The total magnetization is 0.00 μB/cell. The formation energy is -0.740 eV/atom.


## Sn4B3Ir7 (PBEsol)

Data for a geometry-optimized Sn4B3Ir7 structure.

Geometry as POSCAR:
```
Sn4B3Ir7
1.0
9.270 0.000 0.000
-4.635 8.028 0.000
0.000 0.000 5.640
Sn B Ir
8 6 14
direct
0.092 0.589 0.250
0.333 0.667 0.750
0.411 0.503 0.250
0.497 0.908 0.250
0.503 0.092 0.750
0.589 0.497 0.750
0.667 0.333 0.250
0.908 0.411 0.750
0.037 0.828 0.750
0.172 0.209 0.750
0.209 0.037 0.250
0.791 0.963 0.750
0.828 0.791 0.250
0.963 0.172 0.250
0.000 0.000 0.000
0.000 0.000 0.500
0.124 0.355 0.501
0.124 0.355 0.999
0.230 0.876 0.501
0.230 0.876 0.999
0.355 0.230 0.001
0.355 0.230 0.499
0.645 0.770 0.501
0.645 0.770 0.999
0.770 0.124 0.001
0.770 0.124 0.499
0.876 0.645 0.001
0.876 0.645 0.499
```

Values from the calculation:
The total magnetization is 0.00 μB/cell. The formation energy is -0.294 eV/atom.